# AcTiRu2 | Alexandria via LeMat-Bulk | PBE | relaxed
data_AcTiRu2
_chemical_formula_sum 'Ac1 Ti1 Ru2'
_space_group_name_H-M_alt 'P 1'
_space_group_IT_number 1
_cell_length_a 3.261
_cell_length_b 3.261
_cell_length_c 7.214
_cell_angle_alpha 90.00
_cell_angle_beta 90.00
_cell_angle_gamma 90.00
loop_
_space_group_symop_operation_xyz
'x,y,z'
loop_
_atom_site_label
_atom_site_fract_x
_atom_site_fract_y
_atom_site_fract_z
Ac1 0.000 0.000 0.000
Ti1 0.000 0.000 0.500
Ru1 0.500 0.500 0.301
Ru2 0.500 0.500 0.699
# Raw total energy = -7.748 eV per atom
# Energy of formation = -0.11 eV/atom